VASP calculation (PBE) on Cs3Ce3PrS8 after structural relaxation.

abc: 9.4918 9.4918 9.4918
angles: 52.73 52.73 52.73
With the nearest neighbours (Å) after each atom.
Positions (direct):
1 Cs 0.0000 0.5000 0.5000  6 S 3.56-3.58
2 Cs 0.5000 0.0000 0.5000  6 S 3.56-3.58
3 Cs 0.5000 0.5000 0.0000  6 S 3.56-3.58
4 Ce 0.0000 0.0000 0.5000  6 S 2.82-2.85
5 Ce 0.0000 0.5000 0.0000  6 S 2.82-2.85
6 Ce 0.5000 0.0000 0.0000  6 S 2.82-2.85
7 Pr 0.5000 0.5000 0.5000  6 S 2.87
8 S 0.2212 0.7293 0.7293  2 Ce 2.82, 1 Pr 2.87
9 S 0.2272 0.2272 0.2272  3 Ce 2.85
10 S 0.2707 0.2707 0.7788  2 Ce 2.82, 1 Pr 2.87
11 S 0.2707 0.7788 0.2707  2 Ce 2.82, 1 Pr 2.87
12 S 0.7293 0.2212 0.7293  2 Ce 2.82, 1 Pr 2.87
13 S 0.7293 0.7293 0.2212  2 Ce 2.82, 1 Pr 2.87
14 S 0.7728 0.7728 0.7728  3 Ce 2.85
15 S 0.7788 0.2707 0.2707  2 Ce 2.82, 1 Pr 2.87

* SG: R-3m (166)

=====

VASP calculation (PBE) on Cs3CePr3S8 after structural relaxation.

abc: 9.5497 9.5497 9.5497
angles: 52.55 52.55 52.55
With the nearest neighbours (Å) after each atom.
Positions (direct):
1 Cs 0.0000 0.5000 0.5000  6 S 3.55-3.56
2 Cs 0.5000 0.0000 0.5000  6 S 3.55-3.56
3 Cs 0.5000 0.5000 0.0000  6 S 3.55-3.56
4 Ce 0.5000 0.5000 0.5000  6 S 2.76
5 Pr 0.0000 0.0000 0.5000  6 S 2.88-2.89
6 Pr 0.0000 0.5000 0.0000  6 S 2.88-2.89
7 Pr 0.5000 0.0000 0.0000  6 S 2.88-2.89
8 S 0.2287 0.2287 0.2287  3 Pr 2.88
9 S 0.2395 0.7196 0.7196  1 Ce 2.76, 2 Pr 2.89
10 S 0.2804 0.2804 0.7605  1 Ce 2.76, 2 Pr 2.89
11 S 0.2804 0.7605 0.2804  1 Ce 2.76, 2 Pr 2.89
12 S 0.7196 0.2395 0.7196  1 Ce 2.76, 2 Pr 2.89
13 S 0.7196 0.7196 0.2395  1 Ce 2.76, 2 Pr 2.89
14 S 0.7605 0.2804 0.2804  1 Ce 2.76, 2 Pr 2.89
15 S 0.7713 0.7713 0.7713  3 Pr 2.88

* SG: R-3m (166)

=====

Computed energy relative to the elements, uncorrected (eV per formula unit) in order:
-27.16, -27.21